# ErTlHg, relaxed, DFT PBE-GGA
# Crystal system = cubic
# Energy = -2.65 eV/atom
# Energy relative to the lowest polymorph listed for this composition = 18.2 kJ/mol of formula units
# Calculated formation energy = -241 meV/atom
data_ErTlHg
_chemical_formula_sum 'Er1 Tl1 Hg1'
_space_group_name_H-M_alt 'P 1'
_space_group_IT_number 1
_space_group_name_Hall 'P 1'
_cell_length_a 4.895
_cell_length_b 4.895
_cell_length_c 4.895
_cell_angle_alpha 60.00
_cell_angle_beta 60.00
_cell_angle_gamma 60.00
loop_
_atom_site_label
_atom_site_type_symbol
_atom_site_fract_x
_atom_site_fract_y
_atom_site_fract_z
Tl1 Tl 0.000 0.000 0.000
Hg1 Hg 0.250 0.250 0.250
Er1 Er 0.500 0.500 0.500